Record 1
The following is a GGA-PBE calculation of an optimized crystal structure of Na2TlPb2, from Alexandria.

Computed properties:
Its crystal system is tetragonal. Its symmetry is No. 127. The calculation puts the raw total energy at -2.551 eV/atom. For the density of states at the Fermi level, the calculation gives 2.31 states/eV/f.u. The calculation puts the formation energy at -67 meV per atom.

Cell and atoms, written as POSCAR:
```
Na2TlPb2
1.0
-6.966 -5.726 0.327
-0.312 -0.135 -9.016
2.346 -2.856 -0.038
Pb Na Tl
4 4 2
Direct
0.378 0.878 0.000
0.878 0.622 0.000
0.622 0.122 0.000
0.122 0.378 0.000
0.177 0.677 0.500
0.677 0.823 0.500
0.823 0.323 0.500
0.323 0.177 0.500
0.000 0.000 0.000
0.500 0.500 0.000
```

=====

Record 2
The following is a GGA-PBE calculation of an optimized crystal structure of Na3Tl2Pb, from Alexandria.

Computed properties:
Its crystal system is monoclinic. Its symmetry is No. 15. The calculation puts the raw total energy at -2.181 eV/atom. For the density of states at the Fermi level, the calculation gives 2.92 states/eV/f.u. The calculation puts the formation energy at -115 meV per atom.

Cell and atoms, written as POSCAR:
```
Na3Tl2Pb
1.0
6.049 0.075 -0.245
-0.180 6.366 -2.507
0.313 -0.125 9.002
Na Tl Pb
6 4 2
Direct
0.250 0.377 0.000
0.750 0.623 0.000
0.084 0.290 0.332
0.416 0.958 0.668
0.584 0.042 0.332
0.916 0.710 0.668
0.589 0.546 0.335
0.089 0.790 0.335
0.911 0.210 0.665
0.411 0.454 0.665
0.750 0.122 0.000
0.250 0.878 0.000
```

=====

Record 3
The following is a GGA-PBE calculation of an optimized crystal structure of NaTl4Pb5, from Alexandria.

Computed properties:
Its crystal system is monoclinic. Its symmetry is No. 12. The calculation puts the raw total energy at -2.910 eV/atom. For the density of states at the Fermi level, the calculation gives 4.66 states/eV/f.u. The calculation puts the formation energy at 22 meV per atom.

Cell and atoms, written as POSCAR:
```
NaTl4Pb5
1.0
-3.571 0.300 -0.474
-1.044 -10.343 1.327
0.439 -2.540 8.883
Na Tl Pb
1 4 5
Direct
0.500 0.000 0.000
0.664 0.123 0.327
0.994 0.249 0.988
0.336 0.877 0.673
0.006 0.751 0.012
0.179 0.456 0.358
0.178 0.796 0.356
0.822 0.204 0.644
0.500 0.500 0.000
0.821 0.544 0.642
```

=====

Record 4
The following is a GGA-PBE calculation of an optimized crystal structure of NaTlPb, from Alexandria.

Computed properties:
Its crystal system is tetragonal. Its symmetry is No. 129. The calculation puts the raw total energy at -2.517 eV/atom. For the density of states at the Fermi level, the calculation gives 1.31 states/eV/f.u. The calculation puts the formation energy at -52 meV per atom.

Cell and atoms, written as POSCAR:
```
NaTlPb
1.0
4.892 0.000 0.000
0.000 4.892 0.000
0.000 0.000 7.986
Pb Na Tl
2 2 2
Direct
0.000 0.500 0.764
0.500 0.000 0.236
0.000 0.500 0.177
0.500 0.000 0.823
0.000 0.000 0.500
0.500 0.500 0.500
```

=====

Record 5
The following is a GGA-PBE calculation of an optimized crystal structure of NaTl2Pb, from Alexandria.

Computed properties:
Its crystal system is tetragonal. Its symmetry is No. 123. The calculation puts the raw total energy at -2.517 eV/atom. For the density of states at the Fermi level, the calculation gives 1.48 states/eV/f.u. The calculation puts the formation energy at -77 meV per atom.

Cell and atoms, written as POSCAR:
```
NaTl2Pb
1.0
-2.196 0.031 -3.206
0.166 -3.880 -0.152
-6.489 -0.452 4.440
Pb Na Tl
1 1 2
Direct
0.500 0.500 0.000
0.500 0.500 0.500
0.000 0.000 0.742
0.000 0.000 0.258
```

=====

Record 6
The following is a GGA-PBE calculation of an optimized crystal structure of NaTl5Pb7, from Alexandria.

Computed properties:
Its crystal system is monoclinic. Its symmetry is No. 8. The calculation puts the raw total energy at -2.978 eV/atom. For the density of states at the Fermi level, the calculation gives 6.97 states/eV/f.u. The calculation puts the formation energy at 30 meV per atom.

Cell and atoms, written as POSCAR:
```
NaTl5Pb7
1.0
-2.484 -2.068 -4.991
2.316 -8.231 1.233
-6.375 -4.305 3.933
Na Tl Pb
1 5 7
Direct
0.076 0.996 0.996
0.312 0.987 0.603
0.846 0.023 0.391
0.312 0.603 0.987
0.846 0.391 0.023
0.829 0.803 0.803
0.575 0.386 0.386
0.554 0.616 0.616
0.075 0.346 0.663
0.075 0.663 0.346
0.343 0.187 0.187
0.578 0.819 0.179
0.578 0.179 0.819
```

=====

Record 7
The following is a GGA-PBE calculation of an optimized crystal structure of NaTl16Pb12, from Alexandria.

Computed properties:
Its crystal system is monoclinic. Its symmetry is No. 8. The calculation puts the raw total energy at -2.896 eV/atom. For the density of states at the Fermi level, the calculation gives 10.86 states/eV/f.u. The calculation puts the formation energy at -10 meV per atom.

Cell and atoms, written as POSCAR:
```
NaTl16Pb12
1.0
9.966 0.002 -3.549
-4.919 8.667 -3.549
0.000 -0.001 10.672
Na Tl Pb
1 16 12
Direct
0.595 0.595 0.281
0.352 0.352 0.348
0.000 0.000 0.999
0.001 0.001 0.649
0.312 0.312 0.717
0.690 0.409 0.005
0.589 0.280 0.594
0.001 0.687 0.407
0.001 0.647 0.999
0.719 0.312 0.315
0.405 0.001 0.687
0.001 0.405 0.687
0.312 0.719 0.315
0.647 0.001 0.999
0.687 0.001 0.407
0.280 0.589 0.594
0.409 0.690 0.005
0.809 0.809 0.183
0.627 0.627 0.817
0.376 0.191 0.999
0.815 0.625 0.626
0.189 0.997 0.373
0.374 0.001 0.190
0.185 0.809 0.809
0.809 0.185 0.809
0.001 0.374 0.190
0.997 0.189 0.373
0.625 0.815 0.626
0.191 0.376 0.999
```

=====

Record 8
The following is a GGA-PBE calculation of an optimized crystal structure of Na6Tl3Pb2, from Alexandria.

Computed properties:
Its crystal system is monoclinic. Its symmetry is No. 12. The calculation puts the raw total energy at -2.091 eV/atom. For the density of states at the Fermi level, the calculation gives 5.71 states/eV/f.u. The calculation puts the formation energy at -52 meV per atom.

Cell and atoms, written as POSCAR:
```
Na6Tl3Pb2
1.0
4.509 0.018 3.131
0.045 4.509 3.131
4.207 4.182 22.964
Na Tl Pb
6 3 2
Direct
0.830 0.324 0.855
0.324 0.830 0.855
0.170 0.676 0.145
0.676 0.170 0.145
0.672 0.672 0.567
0.328 0.328 0.433
0.000 0.000 0.000
0.809 0.809 0.370
0.191 0.191 0.630
0.319 0.319 0.299
0.681 0.681 0.701
```